Entry 1:
First-principles (PBE) data for a relaxed structure of SmLu3H, as listed in Alexandria via LeMat-Bulk.

Properties
final energy: -4.473 eV per atom
calculated volume: 119 Å³/cell

a b c (Å): 4.915 4.915 4.915
angles (deg): 90.00 90.00 90.00
Space group Pm-3m (No. 221)
Unique sites:
Sm1 0.000 0.000 0.000
Lu1 0.000 0.500 0.500
H1 0.500 0.500 0.500

***

Entry 2:
First-principles (PBE) data for a relaxed structure of Cd3MoOs, as listed in Alexandria via LeMat-Bulk.

Properties
energy relative to the elements: 2173 meV/atom
final energy: -2.788 eV per atom
calculated volume: 143 Å³/cell

a b c (Å): 5.229 5.229 5.229
angles (deg): 90.00 90.00 90.00
Space group Pm-3m (No. 221)
Unique sites:
Cd1 0.000 0.000 0.500
Mo1 0.000 0.000 0.000
Os1 0.500 0.500 0.500

***

Entry 3:
First-principles (PBE) data for a relaxed structure of Er4SiBr5, as listed in Alexandria via LeMat-Bulk.

Properties
final energy: -4.618 eV per atom
calculated volume: 584 Å³/cell
raw formation energy: -1.414 eV per atom

a b c (Å): 18.008 4.004 8.308
angles (deg): 90.00 102.75 90.00
Space group C2/m (No. 12)
Unique sites:
Er1 0.001 0.000 0.220
Er2 0.150 0.500 0.079
Si1 0.000 0.500 0.000
Br1 0.000 0.500 0.500
Br2 0.167 0.000 0.330
Br3 0.173 0.000 0.840

***

Entry 4:
First-principles (PBE) data for a relaxed structure of K2HgCl4, as listed in Alexandria via LeMat-Bulk.

Properties
final energy: -2.748 eV per atom
calculated volume: 504 Å³/cell
raw formation energy: -1.336 eV per atom

a b c (Å): 8.118 9.183 6.766
angles (deg): 90.00 90.00 90.00
Space group Pmmn (No. 59, origin choice 2)
Unique sites:
K1 0.000 0.000 0.000
Hg1 0.250 0.250 0.468
Cl1 0.250 0.000 0.390
Cl2 0.250 0.250 0.867
Cl3 0.250 0.750 0.918

***

Entry 5:
First-principles (PBE) data for a relaxed structure of RbTlIn2Cl8, as listed in Alexandria via LeMat-Bulk.

Properties
final energy: -3.229 eV per atom
calculated volume: 811 Å³/cell
raw formation energy: -1.264 eV per atom

a b c (Å): 7.099 7.099 16.089
angles (deg): 90.00 90.00 90.00
Space group I-4 (No. 82)
Unique sites:
Rb1 0.000 0.000 0.000
Tl1 0.000 0.500 0.750
In1 0.000 0.000 0.500
In2 0.000 0.500 0.250
Cl1 0.147 0.242 0.582
Cl2 0.154 0.740 0.170

***

Entry 6:
First-principles (PBE) data for a relaxed structure of RbBa2MgIr, as listed in Alexandria via LeMat-Bulk.

Properties
energy relative to the elements: -4 meV/atom
final energy: -3.058 eV per atom
calculated volume: 210 Å³/cell

a b c (Å): 6.193 6.193 5.464
angles (deg): 90.00 90.00 90.00
Space group P4/mmm (No. 123)
Unique sites:
Rb1 0.000 0.000 0.000
Ba1 0.000 0.500 0.500
Mg1 0.500 0.500 0.000
Ir1 0.500 0.500 0.500